Below is crystalline CoAs2Se at its relaxed geometry, with properties calculated at the GGA-PBEsol level.

Structure (extended XYZ):
```
4
Lattice="-2.4568 1.6795 -1.3172 -1.4195 -3.2854 -1.5413 -1.0302 -0.0198 5.9167" Properties=species:S:1:pos:R:3 pbc="T T T"
As -4.8517 -1.6105 2.9753
As -3.2076 0.2912 2.3334
Se -1.7138 -1.9210 0.7473
Co -1.9780 -0.8140 -1.3691
```

Summary:
The space-group type is Imm2. For the formation energy without anion corrections, the calculation gives 0.42 eV/f.u. The spin magnetization comes out at 0.00 μB per cell.